Material: CsGaHg2F8
Method: DFT, GGA-PBE
State: relaxed

Cell: 5.057 5.203 8.481 Å, 84.21 88.67 87.99°
Space group P-1 (No. 2)
Inequivalent atoms, fractional coordinates:
Cs  0.000  0.000  0.000 [1 per cell]
Ga  0.000  0.000  0.500 [1 per cell]
Hg  0.453  0.524  0.709 [2 per cell]
F  0.139  0.187  0.655 [2 per cell]
F  0.143  0.225  0.328 [2 per cell]
F  0.328  0.763  0.503 [2 per cell]
F  0.490  0.715  0.086 [2 per cell]

- Uncorrected energy: -3.658 eV/atom
- Total magnetization: 0.0 Bohr magnetons per cell
- Formation energy (no corrections): -2036 meV/atom